# SrCrP2 | the Alexandria database | PBEsol | optimized geometry
data_SrCrP2
_chemical_formula_sum 'Sr4 Cr4 P8'
_symmetry_space_group_name_H-M 'F m -3 m'
_symmetry_Int_Tables_number 225
_symmetry_space_group_name_Hall '-F 4 2 3'
_cell_length_a 6.666
_cell_length_b 6.666
_cell_length_c 6.666
_cell_angle_alpha 90.00
_cell_angle_beta 90.00
_cell_angle_gamma 90.00
loop_
_atom_site_label
_atom_site_fract_x
_atom_site_fract_y
_atom_site_fract_z
_atom_site_occupancy
Sr1 0.000 0.000 0.000 1
Cr1 0.000 0.000 0.500 1
P1 0.250 0.250 0.250 1
# **Energy**: -5.937 eV/atom
# **Formation energy**: -2.02 kJ per mole of atoms